No. 1
Computed, not measured: a relaxed structure of Ta2NiAs at the GGA-PBE level of DFT.

Space group: I-42d, No. 122
Energy, eV per atom: -8.465
E_form, eV/atom: 0.069
N(E_F), states/eV per cell: 5.59

a = 6.894 Å, b = 6.894 Å, c = 5.624 Å
α = 52.20°, β = 52.20°, γ = 90.00°
Sites, in units of the cell vectors:
Ni (0.500, 0.500, 0.000)
Ni (0.250, 0.750, 0.500)
As (0.750, 0.250, 0.500)
As (0.000, 0.000, 0.000)
Ta (0.375, 0.385, 0.750)
Ta (0.135, 0.625, 0.250)
Ta (0.875, 0.865, 0.750)
Ta (0.615, 0.125, 0.250)

---

No. 2
Computed, not measured: a relaxed structure of TaNiAs at the GGA-PBE level of DFT.

Space group: R-3m, No. 166
Energy, eV per atom: -7.531
E_form, eV/atom: -0.103
N(E_F), states/eV per cell: 2.97

a = 4.226 Å, b = 4.226 Å, c = 7.062 Å
α = 72.59°, β = 72.59°, γ = 60.00°
Sites, in units of the cell vectors:
Ni (0.837, 0.837, 0.489)
Ni (0.163, 0.163, 0.511)
Ta (0.433, 0.433, 0.702)
Ta (0.567, 0.567, 0.298)
As (0.715, 0.715, 0.854)
As (0.285, 0.285, 0.146)

---

No. 3
Computed, not measured: a relaxed structure of Ta2NiAs at the GGA-PBE level of DFT.

Space group: Pmmm, No. 47
Energy, eV per atom: -8.644
E_form, eV/atom: -0.110
N(E_F), states/eV per cell: 2.40

a = 3.679 Å, b = 4.267 Å, c = 3.968 Å
α = 90.00°, β = 90.00°, γ = 90.00°
Sites, in units of the cell vectors:
As (0.500, 0.000, 0.500)
Ta (0.500, 0.500, 0.000)
Ta (0.000, 0.000, 0.000)
Ni (0.000, 0.500, 0.500)